Material: Er3MnO6
Method: DFT, PBE with a Hubbard U
State: relaxed

Cell lengths 5.4118, 5.7014, 8.0308 Å; angles 90.00, 92.19, 90.00 degrees
Last column: magnetic moment on the atom in μB.
Element x y z (fractional)
Er1 0.5274 0.9352 0.7469  0.00
Er2 0.5000 0.5000 0.0000  0.01
Er3 0.4726 0.0648 0.2531  0.00
Er4 0.0274 0.5648 0.2469  0.00
Er5 0.0000 0.0000 0.5000  0.01
Er6 0.9726 0.4352 0.7531  0.00
Mn1 0.5000 0.5000 0.5000  2.01
Mn2 0.0000 0.0000 0.0000  2.01
O1 0.7093 0.1855 0.9286  0.00
O2 0.6790 0.2056 0.5738  -0.01
O3 0.6409 0.4370 0.2636  -0.02
O4 0.3591 0.5630 0.7364  -0.02
O5 0.3210 0.7944 0.4262  -0.01
O6 0.2907 0.8145 0.0714  0.00
O7 0.2093 0.3145 0.4286  0.00
O8 0.1790 0.2944 0.0738  -0.01
O9 0.1409 0.0630 0.7636  -0.02
O10 0.8591 0.9370 0.2364  -0.02
O11 0.8210 0.7056 0.9262  -0.01
O12 0.7907 0.6855 0.5714  0.00

## Properties
Theoretical density ... 8.75 g/cm3
Uncorrected energy ... -160.36 eV per cell
Density of states at the Fermi level ... 0.00 states/eV/atom
Total magnetization ... 2.000 μB per formula unit

Material: ErMn2O4
Method: DFT, PBE with a Hubbard U
State: relaxed

Cell lengths 3.1639, 9.9970, 10.3016 Å; angles 90.00, 90.00, 90.00 degrees
Last column: magnetic moment on the atom in μB.
Element x y z (fractional)
Er1 0.7068 0.2586 0.8610  0.05
Er2 0.7068 0.7586 0.6390  0.05
Er3 0.2932 0.2586 0.3610  0.05
Er4 0.2932 0.7586 0.1390  0.05
Mn1 0.2327 0.4332 0.6236  4.02
Mn2 0.2327 0.9332 0.8764  4.02
Mn3 0.7673 0.9332 0.3764  4.02
Mn4 0.1959 0.5704 0.8856  4.57
Mn5 0.8041 0.5704 0.3856  4.57
Mn6 0.1959 0.0704 0.6144  4.57
Mn7 0.8041 0.0704 0.1144  4.57
Mn8 0.7673 0.4332 0.1236  4.02
O1 0.7626 0.1132 0.4534  0.00
O2 0.1834 0.8810 0.5202  0.03
O3 0.6762 0.9874 0.7446  0.04
O4 0.2373 0.1132 0.9534  0.00
O5 0.1834 0.3810 0.9798  0.03
O6 0.2097 0.7563 0.7940  -0.02
O7 0.8166 0.8810 0.0202  0.03
O8 0.7903 0.7563 0.2940  -0.02
O9 0.6762 0.4874 0.7554  0.04
O10 0.3238 0.9874 0.2446  0.04
O11 0.8166 0.3810 0.4798  0.03
O12 0.7903 0.2563 0.2060  -0.02
O13 0.2097 0.2563 0.7060  -0.02
O14 0.3238 0.4874 0.2554  0.04
O15 0.7627 0.6132 0.0466  0.00
O16 0.2374 0.6132 0.5466  0.00

## Properties
Theoretical density ... 6.95 g/cm3
Uncorrected energy ... -222.21 eV per cell
ΔE to the lowest computed polymorph ... 0.0 kJ/mol of atoms
Total magnetization ... 9.000 μB per formula unit

Material: ErMnO3
Method: DFT, PBE with a Hubbard U
State: relaxed

Cell lengths 3.7552, 5.3693, 6.3349 Å; angles 115.07, 90.00, 90.00 degrees
Last column: magnetic moment on the atom in μB.
Element x y z (fractional)
Er1 0.0000 0.6548 0.3096  0.05
Er2 0.0000 0.3452 0.6904  0.05
Mn1 0.5000 0.1187 0.2373  3.96
Mn2 0.5000 0.8813 0.7627  3.96
O1 0.5000 0.2794 0.0000  -0.02
O2 0.0000 0.8508 0.7017  -0.03
O3 0.5000 0.7206 0.0000  -0.02
O4 0.5000 0.5000 0.5000  -0.05
O5 0.0000 0.1492 0.2983  -0.03
O6 0.5000 0.0000 0.5000  -0.05

## Properties
Theoretical density ... 7.76 g/cm3
Uncorrected energy ... -76.36 eV per cell
Density of states at the Fermi level ... 0.18 states/eV/atom
Total magnetization ... 4.000 μB per formula unit

Material: Er2Mn2O5
Method: DFT, PBE with a Hubbard U
State: relaxed

Cell lengths 3.7034, 6.2008, 6.3127 Å; angles 63.78, 72.94, 72.63 degrees
Last column: magnetic moment on the atom in μB.
Element x y z (fractional)
Er1 0.3839 0.2624 0.9697  0.03
Er2 0.6161 0.7376 0.0303  0.03
Mn1 0.1353 0.1908 0.5386  4.58
Mn2 0.8647 0.8092 0.4614  4.58
O1 0.3671 0.9312 0.3346  0.08
O2 0.6329 0.0688 0.6654  0.08
O3 0.1577 0.4861 0.1986  0.04
O4 0.8423 0.5139 0.8014  0.04
O5 0.0000 0.0000 0.0000  0.05

## Properties
Theoretical density ... 7.14 g/cm3
Uncorrected energy ... -71.96 eV per cell
Total magnetization ... 10.000 μB per formula unit

Material: ErMnO3
Method: DFT, PBE with a Hubbard U
State: relaxed

Cell lengths 5.2925, 5.8434, 7.4544 Å; angles 90.00, 90.00, 90.00 degrees
Last column: magnetic moment on the atom in μB.
Element x y z (fractional)
Er1 0.0193 0.9164 0.7500  0.02
Er2 0.5193 0.5836 0.2500  0.02
Er3 0.4807 0.4164 0.7500  0.02
Er4 0.9807 0.0836 0.2500  0.02
Mn1 0.5000 0.0000 0.5000  3.89
Mn2 0.0000 0.5000 0.5000  3.89
Mn3 0.0000 0.5000 0.0000  3.89
Mn4 0.5000 0.0000 0.0000  3.89
O1 0.6985 0.3272 0.4416  0.01
O2 0.1985 0.1728 0.5584  0.01
O3 0.8015 0.8272 0.0584  0.01
O4 0.3015 0.6728 0.9416  0.01
O5 0.3015 0.6728 0.5584  0.01
O6 0.8015 0.8272 0.4416  0.01
O7 0.1985 0.1728 0.9416  0.01
O8 0.6985 0.3272 0.0584  0.01
O9 0.1237 0.4545 0.2500  -0.03
O10 0.6237 0.0455 0.7500  -0.03
O11 0.3763 0.9545 0.2500  -0.03
O12 0.8763 0.5455 0.7500  -0.03

## Properties
Theoretical density ... 7.78 g/cm3
Uncorrected energy ... -160.22 eV per cell
Total magnetization ... 4.000 μB per formula unit

Material: ErMnO3
Method: DFT, PBE with a Hubbard U
State: relaxed

Cell lengths 6.1721, 6.1721, 11.5161 Å; angles 90.00, 90.00, 120.00 degrees
Last column: magnetic moment on the atom in μB.
Element x y z (fractional)
Er1 0.6667 0.3333 0.2288  0.03
Er2 0.3333 0.6667 0.7288  0.03
Er3 0.6667 0.3333 0.7288  0.03
Er4 0.3333 0.6667 0.2288  0.03
Er5 0.0000 0.0000 0.7726  0.03
Er6 0.0000 0.0000 0.2726  0.03
Mn1 0.6666 0.0000 0.4978  3.94
Mn2 0.6666 0.6666 0.9978  3.94
Mn3 0.0000 0.3334 0.9978  3.94
Mn4 0.0000 0.6666 0.4978  3.94
Mn5 0.3334 0.3334 0.4978  3.94
Mn6 0.3334 0.0000 0.9978  3.94
O1 0.6667 0.3333 0.0193  -0.03
O2 0.3333 0.6667 0.5193  -0.03
O3 0.6667 0.3333 0.5193  -0.03
O4 0.3333 0.6667 0.0193  -0.03
O5 0.0000 0.0000 0.9724  -0.02
O6 0.0000 0.0000 0.4724  -0.02
O7 0.3596 0.0000 0.8326  -0.03
O8 0.3596 0.3596 0.3326  -0.03
O9 0.0000 0.6404 0.3326  -0.03
O10 0.0000 0.3596 0.8326  -0.03
O11 0.6404 0.6404 0.8326  -0.03
O12 0.6404 0.0000 0.3326  -0.03
O13 0.3067 0.0000 0.1632  -0.03
O14 0.3067 0.3067 0.6632  -0.03
O15 0.0000 0.6933 0.6632  -0.03
O16 0.0000 0.3067 0.1632  -0.03
O17 0.6933 0.6933 0.1632  -0.03
O18 0.6933 0.0000 0.6632  -0.03

## Properties
Theoretical density ... 7.09 g/cm3
Uncorrected energy ... -241.36 eV per cell
Density of states at the Fermi level ... 0.06 states/eV/atom
Total magnetization ... 4.000 μB per formula unit